# 1
BaSrCa4: optimized geometry, GGA-PBE.

Computed properties:
The calculation puts the total moment at 0.00 Bohr magnetons per cell. The value obtained for the formation energy from the elements is 0.06 eV/atom. The distance to the lowest polymorph of the same formula is 0.22 eV per formula unit.

Lattice parameters (Å, degrees): 6.5198 11.2911 7.8445 90.00 90.11 90.00
With the nearest neighbours (Å) after each atom.
Fractional coordinates of all 12 atoms:
Ba (0.0000, 0.0000, 0.0000)  2 Sr 3.92, 12 Ca 4.25-4.26
Ba (0.5000, 0.5000, 0.0000)  2 Sr 3.92, 12 Ca 4.25-4.26
Sr (0.0000, 0.0000, 0.5000)  2 Ba 3.92, 12 Ca 4.23-4.24
Sr (0.5000, 0.5000, 0.5000)  2 Ba 3.92, 12 Ca 4.23-4.24
Ca (0.9998, 0.3333, 0.2527)  5 Ca 3.76-3.96
Ca (0.0002, 0.3333, 0.7473)  5 Ca 3.76-3.96
Ca (0.9998, 0.6667, 0.2527)  5 Ca 3.76-3.96
Ca (0.0002, 0.6667, 0.7473)  5 Ca 3.76-3.96
Ca (0.4998, 0.1667, 0.2527)  5 Ca 3.76-3.96
Ca (0.5002, 0.1667, 0.7473)  5 Ca 3.76-3.96
Ca (0.4998, 0.8333, 0.2527)  5 Ca 3.76-3.96
Ca (0.5002, 0.8333, 0.7473)  5 Ca 3.76-3.96

***

# 2
Ba4Sr19Ca6: optimized geometry, GGA-PBE.

Computed properties:
The calculation puts the total moment at 0.01 Bohr magnetons per cell. The value obtained for the formation energy from the elements is 0.26 eV/atom.

Lattice parameters (Å, degrees): 12.9221 12.9221 12.9221 109.47 109.47 109.47
With the nearest neighbours (Å) after each atom.
Fractional coordinates of all 29 atoms:
Ba (0.0000, 0.0000, 0.6450)  9 Sr 3.99-4.13
Ba (0.0000, 0.6450, 0.0000)  9 Sr 3.99-4.13
Ba (0.3550, 0.3550, 0.3550)  9 Sr 3.99-4.13
Ba (0.6450, 0.0000, 0.0000)  9 Sr 3.99-4.13
Sr (0.0000, 0.0000, 0.0000)  6 Sr 4.03
Sr (0.0000, 0.2699, 0.2699)  2 Ca 3.93, 2 Ba 3.99, 5 Sr 4.03-4.20
Sr (0.0000, 0.7301, 0.7301)  2 Ca 3.93, 2 Ba 3.99, 5 Sr 4.03-4.20
Sr (0.0022, 0.7920, 0.3379)  2 Ca 3.81-4.15, 2 Ba 4.00-4.13, 2 Sr 4.17-4.20
Sr (0.2080, 0.2102, 0.5458)  2 Ca 3.81-4.15, 2 Ba 4.00-4.13, 2 Sr 4.17-4.20
Sr (0.2102, 0.5458, 0.2080)  2 Ca 3.81-4.15, 2 Ba 4.00-4.13, 2 Sr 4.17-4.20
Sr (0.2699, 0.0000, 0.2699)  2 Ca 3.93, 2 Ba 3.99, 5 Sr 4.03-4.20
Sr (0.2699, 0.2699, 0.0000)  2 Ca 3.93, 2 Ba 3.99, 5 Sr 4.03-4.20
Sr (0.3357, 0.7898, 0.9978)  2 Ca 3.81-4.15, 2 Ba 4.00-4.13, 2 Sr 4.17-4.20
Sr (0.3379, 0.0022, 0.7920)  2 Ca 3.81-4.15, 2 Ba 4.00-4.13, 2 Sr 4.17-4.20
Sr (0.4542, 0.6643, 0.6621)  2 Ca 3.81-4.15, 2 Ba 4.00-4.13, 2 Sr 4.17-4.20
Sr (0.5458, 0.2080, 0.2102)  2 Ca 3.81-4.15, 2 Ba 4.00-4.13, 2 Sr 4.17-4.20
Sr (0.6621, 0.4542, 0.6643)  2 Ca 3.81-4.15, 2 Ba 4.00-4.13, 2 Sr 4.17-4.20
Sr (0.6643, 0.6621, 0.4542)  2 Ca 3.81-4.15, 2 Ba 4.00-4.13, 2 Sr 4.17-4.20
Sr (0.7301, 0.0000, 0.7301)  2 Ca 3.93, 2 Ba 3.99, 5 Sr 4.03-4.20
Sr (0.7301, 0.7301, 0.0000)  2 Ca 3.93, 2 Ba 3.99, 5 Sr 4.03-4.20
Sr (0.7898, 0.9978, 0.3357)  2 Ca 3.81-4.15, 2 Ba 4.00-4.13, 2 Sr 4.17-4.20
Sr (0.7920, 0.3379, 0.0022)  2 Ca 3.81-4.15, 2 Ba 4.00-4.13, 2 Sr 4.17-4.20
Sr (0.9978, 0.3357, 0.7898)  2 Ca 3.81-4.15, 2 Ba 4.00-4.13, 2 Sr 4.17-4.20
Ca (0.1283, 0.6283, 0.5000)  6 Sr 3.81-4.15, 1 Ca 3.83
Ca (0.3717, 0.5000, 0.8717)  6 Sr 3.81-4.15, 1 Ca 3.83
Ca (0.5000, 0.1283, 0.6283)  6 Sr 3.81-4.15, 1 Ca 3.83
Ca (0.5000, 0.8717, 0.3717)  6 Sr 3.81-4.15, 1 Ca 3.83
Ca (0.6283, 0.5000, 0.1283)  6 Sr 3.81-4.15, 1 Ca 3.83
Ca (0.8717, 0.3717, 0.5000)  6 Sr 3.81-4.15, 1 Ca 3.83

***

# 3
Ba3Sr2Ca: optimized geometry, GGA-PBE.

Computed properties:
The calculation puts the total moment at 0.00 Bohr magnetons per cell. The value obtained for the formation energy from the elements is 0.06 eV/atom. The distance to the lowest polymorph of the same formula is 0.26 eV per formula unit.

Lattice parameters (Å, degrees): 8.0533 8.0533 10.6840 96.36 96.36 96.25
With the nearest neighbours (Å) after each atom.
Fractional coordinates of all 12 atoms:
Ba (0.0852, 0.9148, 0.7500)  1 Ca 3.93, 4 Ba 4.08-4.21
Ba (0.1826, 0.3458, 0.9999)  2 Ca 3.93-3.98, 3 Ba 4.05-4.21, 2 Sr 4.38-4.39
Ba (0.3458, 0.1826, 0.4999)  2 Ca 3.93-3.98, 3 Ba 4.05-4.21, 2 Sr 4.38-4.39
Ba (0.6542, 0.8174, 0.5001)  2 Ca 3.93-3.98, 3 Ba 4.05-4.21, 2 Sr 4.38-4.39
Ba (0.8174, 0.6542, 0.0001)  2 Ca 3.93-3.98, 3 Ba 4.05-4.21, 2 Sr 4.38-4.39
Ba (0.9148, 0.0852, 0.2500)  1 Ca 3.93, 4 Ba 4.08-4.21
Sr (0.1261, 0.6221, 0.3758)  2 Sr 4.06-4.12, 8 Ba 4.38-4.54, 3 Ca 4.44-4.52
Sr (0.3779, 0.8739, 0.1242)  2 Sr 4.06-4.12, 8 Ba 4.38-4.54, 3 Ca 4.44-4.52
Sr (0.6221, 0.1261, 0.8758)  2 Sr 4.06-4.12, 8 Ba 4.38-4.54, 3 Ca 4.44-4.52
Sr (0.8739, 0.3779, 0.6242)  2 Sr 4.06-4.12, 8 Ba 4.38-4.54, 3 Ca 4.44-4.52
Ca (0.4128, 0.5872, 0.7500)  5 Ba 3.93-3.98
Ca (0.5872, 0.4128, 0.2500)  5 Ba 3.93-3.98

***

# 4
Ba3Sr5Ca4: optimized geometry, GGA-PBE.

Computed properties:
The calculation puts the total moment at 0.00 Bohr magnetons per cell. The value obtained for the formation energy from the elements is 0.14 eV/atom.

Lattice parameters (Å, degrees): 9.8990 9.8990 10.9532 114.48 114.48 41.56
With the nearest neighbours (Å) after each atom.
Fractional coordinates of all 12 atoms:
Ba (0.0000, 0.0000, 0.0000)  2 Sr 3.51, 2 Ca 3.74
Ba (0.3290, 0.3290, 0.6266)  4 Ca 3.81-4.11, 5 Sr 3.91-4.26
Ba (0.6710, 0.6710, 0.3734)  4 Ca 3.81-4.11, 5 Sr 3.91-4.26
Sr (0.0747, 0.0747, 0.4234)  1 Sr 3.82, 3 Ca 4.03-4.23, 4 Ba 4.08-4.22
Sr (0.2015, 0.2015, 0.8681)  5 Ca 3.91-4.23, 1 Ba 4.26, 1 Sr 4.37
Sr (0.5000, 0.5000, 0.0000)  4 Ba 3.51-3.91
Sr (0.7985, 0.7985, 0.1319)  5 Ca 3.91-4.23, 1 Ba 4.26, 1 Sr 4.37
Sr (0.9253, 0.9253, 0.5766)  1 Sr 3.82, 3 Ca 4.03-4.23, 4 Ba 4.08-4.22
Ca (0.2204, 0.2204, 0.2383)  1 Ca 3.68, 4 Ba 3.74-4.07, 2 Sr 3.91-4.03
Ca (0.4334, 0.4334, 0.3024)  2 Ca 3.68-3.92, 1 Sr 4.01, 1 Ba 4.11
Ca (0.5666, 0.5666, 0.6976)  2 Ca 3.68-3.92, 1 Sr 4.01, 1 Ba 4.11
Ca (0.7796, 0.7796, 0.7617)  1 Ca 3.68, 4 Ba 3.74-4.07, 2 Sr 3.91-4.03

***

# 5
BaSrCa3: optimized geometry, GGA-PBE.

Computed properties:
The calculation puts the total moment at 0.00 Bohr magnetons per cell. The value obtained for the formation energy from the elements is 0.03 eV/atom. The distance to the lowest polymorph of the same formula is 0.00 eV per formula unit.

Lattice parameters (Å, degrees): 12.2039 12.2039 6.3752 90.00 90.00 149.82
With the nearest neighbours (Å) after each atom.
Fractional coordinates of all 10 atoms:
Ba (0.1544, 0.8456, 0.7500)  6 Ca 3.89-4.01, 2 Sr 4.01
Ba (0.8456, 0.1544, 0.2500)  6 Ca 3.89-4.01, 2 Sr 4.01
Sr (0.0509, 0.9491, 0.2500)  4 Ca 3.98-4.00, 2 Sr 3.99, 2 Ba 4.01
Sr (0.9491, 0.0509, 0.7500)  4 Ca 3.98-4.00, 2 Sr 3.99, 2 Ba 4.01
Ca (0.2501, 0.7499, 0.2500)  4 Ba 3.89-3.91, 4 Ca 3.90
Ca (0.3458, 0.6542, 0.7500)  6 Ca 3.90-4.01, 2 Sr 4.00
Ca (0.4493, 0.5507, 0.2500)  2 Sr 3.98, 4 Ca 3.99-4.01, 2 Ba 4.01
Ca (0.5507, 0.4493, 0.7500)  2 Sr 3.98, 4 Ca 3.99-4.01, 2 Ba 4.01
Ca (0.6542, 0.3458, 0.2500)  6 Ca 3.90-4.01, 2 Sr 4.00
Ca (0.7499, 0.2501, 0.7500)  4 Ba 3.89-3.91, 4 Ca 3.90

***

# 6
Ba4SrCa: optimized geometry, GGA-PBE.

Computed properties:
The calculation puts the total moment at 0.00 Bohr magnetons per cell. The value obtained for the formation energy from the elements is 0.16 eV/atom. The distance to the lowest polymorph of the same formula is 0.87 eV per formula unit.

Lattice parameters (Å, degrees): 8.0152 8.0152 8.0152 60.00 60.00 60.00
With the nearest neighbours (Å) after each atom.
Fractional coordinates of all 6 atoms:
Ba (0.1247, 0.1247, 0.1247)  6 Ba 4.00-4.02
Ba (0.1247, 0.1247, 0.6258)  6 Ba 4.00-4.02
Ba (0.1247, 0.6258, 0.1247)  6 Ba 4.00-4.02
Ba (0.6258, 0.1247, 0.1247)  6 Ba 4.00-4.02
Sr (0.5000, 0.5000, 0.5000)  12 Ba 4.70, 4 Ca 4.91
Ca (0.7500, 0.7500, 0.7500)  12 Ba 4.70, 4 Sr 4.91

***

# 7
BaSrCa2: optimized geometry, GGA-PBE.

Computed properties:
The calculation puts the total moment at 0.00 Bohr magnetons per cell. The value obtained for the formation energy from the elements is 0.02 eV/atom. The distance to the lowest polymorph of the same formula is 0.07 eV per formula unit.

Lattice parameters (Å, degrees): 5.9407 5.9636 11.3733 90.00 90.00 90.00
With the nearest neighbours (Å) after each atom.
Fractional coordinates of all 8 atoms:
Ba (0.0000, 0.0000, 0.0000)  4 Ca 4.19-4.20, 4 Ba 4.21, 4 Sr 4.41-4.42
Ba (0.5000, 0.5000, 0.0000)  4 Ca 4.19-4.20, 4 Ba 4.21, 4 Sr 4.41-4.42
Sr (0.0000, 0.5000, 0.2864)  4 Ca 4.04-4.05, 4 Sr 4.21, 4 Ba 4.41-4.42
Sr (0.5000, 0.0000, 0.2864)  4 Ca 4.04-4.05, 4 Sr 4.21, 4 Ba 4.41-4.42
Ca (0.0000, 0.0000, 0.5274)  8 Ca 3.83-4.21, 4 Sr 4.04-4.05
Ca (0.0000, 0.5000, 0.7405)  8 Ca 3.83-4.21, 4 Ba 4.19-4.20
Ca (0.5000, 0.0000, 0.7405)  8 Ca 3.83-4.21, 4 Ba 4.19-4.20
Ca (0.5000, 0.5000, 0.5274)  8 Ca 3.83-4.21, 4 Sr 4.04-4.05

***

# 8
Ba15Sr2Ca2: optimized geometry, GGA-PBE.

Computed properties:
The calculation puts the total moment at 0.00 Bohr magnetons per cell. The value obtained for the formation energy from the elements is 0.15 eV/atom.

Lattice parameters (Å, degrees): 10.8598 10.8598 10.8598 79.84 79.84 79.84
With the nearest neighbours (Å) after each atom.
Fractional coordinates of all 19 atoms:
Ba (0.0000, 0.0000, 0.5000)  8 Ba 4.01-4.25, 2 Ca 4.36
Ba (0.0000, 0.3116, 0.6884)  8 Ba 4.25-4.44
Ba (0.0000, 0.5000, 0.0000)  8 Ba 4.01-4.25, 2 Ca 4.36
Ba (0.0000, 0.6884, 0.3116)  8 Ba 4.25-4.44
Ba (0.1540, 0.6578, 0.6578)  8 Ba 4.01-4.44, 1 Ca 4.42
Ba (0.3116, 0.0000, 0.6884)  8 Ba 4.25-4.44
Ba (0.3116, 0.6884, 0.0000)  8 Ba 4.25-4.44
Ba (0.3422, 0.3422, 0.8460)  8 Ba 4.01-4.44, 1 Ca 4.42
Ba (0.3422, 0.8460, 0.3422)  8 Ba 4.01-4.44, 1 Ca 4.42
Ba (0.5000, 0.0000, 0.0000)  8 Ba 4.01-4.25, 2 Ca 4.36
Ba (0.6578, 0.1540, 0.6578)  8 Ba 4.01-4.44, 1 Ca 4.42
Ba (0.6578, 0.6578, 0.1540)  8 Ba 4.01-4.44, 1 Ca 4.42
Ba (0.6884, 0.0000, 0.3116)  8 Ba 4.25-4.44
Ba (0.6884, 0.3116, 0.0000)  8 Ba 4.25-4.44
Ba (0.8460, 0.3422, 0.3422)  8 Ba 4.01-4.44, 1 Ca 4.42
Sr (0.2971, 0.2971, 0.2971)  1 Ca 4.53, 12 Ba 4.78-4.93
Sr (0.7029, 0.7029, 0.7029)  1 Ca 4.53, 12 Ba 4.78-4.93
Ca (0.0899, 0.0899, 0.0899)  1 Ca 3.93, 3 Ba 4.36
Ca (0.9101, 0.9101, 0.9101)  1 Ca 3.93, 3 Ba 4.36

***

# 9
Ba5SrCa6: optimized geometry, GGA-PBE.

Computed properties:
The calculation puts the total moment at 0.00 Bohr magnetons per cell. The value obtained for the formation energy from the elements is 0.03 eV/atom.

Lattice parameters (Å, degrees): 6.6349 9.4062 10.4617 90.00 108.34 90.00
With the nearest neighbours (Å) after each atom.
Fractional coordinates of all 12 atoms:
Ba (0.0000, 0.0000, 0.0000)  8 Ca 4.06-4.10
Ba (0.3328, 0.0000, 0.6657)  8 Ca 4.09-4.10
Ba (0.3335, 0.5000, 0.6670)  8 Ca 4.03-4.06
Ba (0.6665, 0.5000, 0.3330)  8 Ca 4.03-4.06
Ba (0.6672, 0.0000, 0.3343)  8 Ca 4.09-4.10
Sr (0.0000, 0.5000, 0.0000)  8 Ca 4.02-4.04
Ca (0.1653, 0.2542, 0.3306)  1 Sr 4.02, 7 Ba 4.04-4.10
Ca (0.1653, 0.7458, 0.3306)  1 Sr 4.02, 7 Ba 4.04-4.10
Ca (0.5000, 0.2557, 0.0000)  6 Ba 4.03-4.10, 2 Sr 4.04
Ca (0.5000, 0.7443, 0.0000)  6 Ba 4.03-4.10, 2 Sr 4.04
Ca (0.8347, 0.2542, 0.6694)  1 Sr 4.02, 7 Ba 4.04-4.10
Ca (0.8347, 0.7458, 0.6694)  1 Sr 4.02, 7 Ba 4.04-4.10